# CdTeOsN2

A geometry-optimized CdTeOsN2 structure (PBE, the Alexandria database).

POSCAR file:
```
CdTeOsN2
1.0
3.912 0.000 0.000
0.000 3.912 0.000
0.000 0.000 5.801
Os N Te Cd
1 2 1 1
direct
0.000 0.000 0.000 Os
0.500 0.000 0.000 N
0.000 0.500 0.000 N
0.000 0.000 0.500 Te
0.500 0.500 0.500 Cd
```

Calculated values
For the formation energy without anion corrections, the calculation gives 616.6 meV per atom. Its space group is No. 123.



# ZnAg3Mo

A geometry-optimized ZnAg3Mo structure (PBE, the Alexandria database).

POSCAR file:
```
ZnAg3Mo
1.0
4.657 0.000 0.000
0.000 4.657 0.000
0.000 0.000 4.657
Ag Zn Mo
3 1 1
direct
0.000 0.500 0.000 Ag
0.500 0.000 0.000 Ag
0.000 0.000 0.500 Ag
0.000 0.000 0.000 Zn
0.500 0.500 0.500 Mo
```

Calculated values
The value obtained for the formation energy is 1252.9 meV/atom. Its space group is No. 221.



| no. | DOS(E_F) (states/eV/cell) |
| --- | --- |
| 1 | 3.3 |
| 2 | 4.6 |